## CaIn2W (PBE)

Data for a relaxed structure of CaIn2W.

As for the crystal system: monoclinic. As for the density of states at the Fermi level: 0.520 states/eV/atom. The formation enthalpy at 0 K is 484 meV per atom. As for the total energy: -4.624 eV/atom. The calculation puts the relative energy among the computed polymorphs at 5.31 kcal/mol of atoms.

Lattice parameters (Å, degrees): 5.637 5.637 5.450 86.74 86.74 30.64
Positions (direct):
In 0.996 0.996 0.007
In 0.757 0.757 0.736
Ca 0.246 0.246 0.251
W 0.500 0.500 0.505

## CaInW2 (PBE)

Data for a relaxed structure of CaInW2.

As for the crystal system: orthorhombic. As for the density of states at the Fermi level: 0.751 states/eV/atom. The formation enthalpy at 0 K is 745 meV per atom. As for the total energy: -6.916 eV/atom.

Lattice parameters (Å, degrees): 3.530 4.515 4.883 90.00 90.00 90.00
Positions (direct):
In 0.000 0.500 0.500
W 0.500 0.500 0.000
Ca 0.500 0.000 0.500
W 0.000 0.000 0.000

## CaInW2 (PBE)

Data for a relaxed structure of CaInW2.

As for the crystal system: orthorhombic. As for the density of states at the Fermi level: 0.846 states/eV/atom. The formation enthalpy at 0 K is 323 meV per atom. As for the total energy: -7.339 eV/atom.

Lattice parameters (Å, degrees): 3.322 3.347 8.332 66.28 90.00 90.00
Positions (direct):
Ca 0.000 0.518 0.482
W 0.500 0.306 0.194
W 0.000 0.965 0.036
In 0.500 0.712 0.788

## CaIn2W (PBE)

Data for a relaxed structure of CaIn2W.

As for the crystal system: orthorhombic. As for the density of states at the Fermi level: 1.006 states/eV/atom. The formation enthalpy at 0 K is 585 meV per atom. As for the total energy: -4.523 eV/atom. The calculation puts the relative energy among the computed polymorphs at 7.63 kcal/mol of atoms.

Lattice parameters (Å, degrees): 3.093 4.687 6.206 90.00 90.00 90.00
Positions (direct):
Ca 0.500 0.500 0.747
In 0.500 0.500 0.278
W 0.000 0.000 0.483
In 0.000 0.000 0.993

## CaInW (PBE)

Data for a relaxed structure of CaInW.

As for the crystal system: cubic. As for the density of states at the Fermi level: 0.598 states/eV/atom. The formation enthalpy at 0 K is 1110 meV per atom. As for the total energy: -4.788 eV/atom. The calculation puts the relative energy among the computed polymorphs at 14.55 kcal/mol of atoms.

Lattice parameters (Å, degrees): 4.860 4.860 4.860 60.00 60.00 60.00
Positions (direct):
In 0.750 0.750 0.750
W 0.000 0.000 0.000
Ca 0.500 0.500 0.500

## CaInW2 (PBE)

Data for a relaxed structure of CaInW2.

As for the crystal system: monoclinic. As for the density of states at the Fermi level: 0.886 states/eV/atom. The formation enthalpy at 0 K is 660 meV per atom. As for the total energy: -7.002 eV/atom.

Lattice parameters (Å, degrees): 4.764 4.764 6.586 86.09 86.09 34.60
Positions (direct):
In 0.255 0.255 0.212
Ca 0.505 0.505 0.512
W 0.994 0.994 0.972
W 0.747 0.747 0.804

## CaInW2 (PBE)

Data for a relaxed structure of CaInW2.

As for the crystal system: monoclinic. As for the density of states at the Fermi level: 0.740 states/eV/atom. The formation enthalpy at 0 K is 754 meV per atom. As for the total energy: -6.907 eV/atom.

Lattice parameters (Å, degrees): 5.848 5.848 2.812 79.84 79.84 120.48
Positions (direct):
W 0.000 0.000 0.000
W 0.500 0.500 0.000
In 0.000 0.500 0.500
Ca 0.500 0.000 0.500

## CaInW2 (PBE)

Data for a relaxed structure of CaInW2.

As for the crystal system: orthorhombic. As for the density of states at the Fermi level: 0.778 states/eV/atom. The formation enthalpy at 0 K is 763 meV per atom. As for the total energy: -6.898 eV/atom.

Lattice parameters (Å, degrees): 5.682 5.682 5.682 143.00 133.89 60.53
Positions (direct):
Ca 0.750 0.250 0.500
W 0.495 0.495 0.000
In 0.250 0.750 0.500
W 0.005 0.005 0.000

## CaIn2W (PBE)

Data for a relaxed structure of CaIn2W.

As for the crystal system: monoclinic. As for the density of states at the Fermi level: 0.674 states/eV/atom. The formation enthalpy at 0 K is 375 meV per atom. As for the total energy: -4.733 eV/atom. The calculation puts the relative energy among the computed polymorphs at 2.80 kcal/mol of atoms.

Lattice parameters (Å, degrees): 5.172 5.172 6.073 83.34 83.34 33.97
Positions (direct):
In 0.009 0.009 0.966
In 0.491 0.491 0.534
Ca 0.250 0.250 0.250
W 0.750 0.750 0.750

## CaIn2W (PBE)

Data for a relaxed structure of CaIn2W.

As for the crystal system: cubic. As for the density of states at the Fermi level: 0.944 states/eV/atom. The formation enthalpy at 0 K is 764 meV per atom. As for the total energy: -4.344 eV/atom. The calculation puts the relative energy among the computed polymorphs at 11.76 kcal/mol of atoms.

Lattice parameters (Å, degrees): 5.035 5.035 5.035 60.00 60.00 60.00
Positions (direct):
In 0.000 0.000 0.000
In 0.250 0.250 0.250
Ca 0.500 0.500 0.500
W 0.750 0.750 0.750

## CaInW2 (PBE)

Data for a relaxed structure of CaInW2.

As for the crystal system: tetragonal. As for the density of states at the Fermi level: 0.805 states/eV/atom. The formation enthalpy at 0 K is 858 meV per atom. As for the total energy: -6.804 eV/atom.

Lattice parameters (Å, degrees): 3.651 3.651 6.670 90.00 90.00 90.00
Positions (direct):
W 0.000 0.000 0.572
W 0.000 0.000 0.928
In 0.500 0.500 0.750
Ca 0.500 0.500 0.250

## CaIn2W (PBE)

Data for a relaxed structure of CaIn2W.

As for the crystal system: orthorhombic. As for the density of states at the Fermi level: 0.713 states/eV/atom. The formation enthalpy at 0 K is 475 meV per atom. As for the total energy: -4.633 eV/atom. The calculation puts the relative energy among the computed polymorphs at 5.10 kcal/mol of atoms.

Lattice parameters (Å, degrees): 3.092 3.092 9.686 90.00 90.00 102.53
Positions (direct):
In 0.500 0.500 0.268
Ca 0.500 0.500 0.733
In 0.000 0.000 0.013
W 0.000 0.000 0.487

## CaInW (PBE)

Data for a relaxed structure of CaInW.

As for the crystal system: trigonal. As for the density of states at the Fermi level: 0.702 states/eV/atom. The formation enthalpy at 0 K is 646 meV per atom. As for the total energy: -5.252 eV/atom. The calculation puts the relative energy among the computed polymorphs at 3.84 kcal/mol of atoms.

Lattice parameters (Å, degrees): 3.137 3.137 7.690 90.00 90.00 120.00
Positions (direct):
W 0.333 0.667 0.659
In 0.667 0.333 0.353
Ca 0.000 0.000 0.988

## CaInW2 (PBE)

Data for a relaxed structure of CaInW2.

As for the crystal system: tetragonal. As for the density of states at the Fermi level: 0.553 states/eV/atom. The formation enthalpy at 0 K is 609 meV per atom. As for the total energy: -7.052 eV/atom.

Lattice parameters (Å, degrees): 2.834 2.834 9.796 90.00 90.00 90.00
Positions (direct):
W 0.500 0.500 0.232
W 0.000 0.000 0.003
In 0.500 0.500 0.771
Ca 0.000 0.000 0.495

## CaIn2W (PBE)

Data for a relaxed structure of CaIn2W.

As for the crystal system: tetragonal. As for the density of states at the Fermi level: 0.566 states/eV/atom. The formation enthalpy at 0 K is 324 meV per atom. As for the total energy: -4.784 eV/atom. The calculation puts the relative energy among the computed polymorphs at 1.62 kcal/mol of atoms.

Lattice parameters (Å, degrees): 3.591 3.591 6.910 90.00 90.00 90.00
Positions (direct):
In 0.000 0.000 0.038
In 0.000 0.000 0.462
W 0.500 0.500 0.250
Ca 0.500 0.500 0.750

## CaIn2W (PBE)

Data for a relaxed structure of CaIn2W.

As for the crystal system: trigonal. As for the density of states at the Fermi level: 1.050 states/eV/atom. The formation enthalpy at 0 K is 436 meV per atom. As for the total energy: -4.672 eV/atom. The calculation puts the relative energy among the computed polymorphs at 4.19 kcal/mol of atoms.

Lattice parameters (Å, degrees): 10.070 10.070 10.070 18.56 18.56 18.56
Positions (direct):
In 0.507 0.507 0.507
Ca 0.750 0.750 0.750
In 0.993 0.993 0.993
W 0.250 0.250 0.250

## CaInW2 (PBE)

Data for a relaxed structure of CaInW2.

As for the crystal system: tetragonal. As for the density of states at the Fermi level: 1.003 states/eV/atom. The formation enthalpy at 0 K is 1407 meV per atom. As for the total energy: -6.255 eV/atom.

Lattice parameters (Å, degrees): 8.126 8.126 6.345 50.18 50.18 90.00
Positions (direct):
Ca 0.500 0.500 0.000
W 0.875 0.912 0.750
W 0.375 0.338 0.750
In 0.000 0.000 0.000
W 0.088 0.625 0.250
In 0.750 0.250 0.500
W 0.662 0.125 0.250
Ca 0.250 0.750 0.500

## CaIn2W (PBE)

Data for a relaxed structure of CaIn2W.

As for the crystal system: tetragonal. As for the density of states at the Fermi level: 0.948 states/eV/atom. The formation enthalpy at 0 K is 523 meV per atom. As for the total energy: -4.584 eV/atom. The calculation puts the relative energy among the computed polymorphs at 6.22 kcal/mol of atoms.

Lattice parameters (Å, degrees): 4.018 4.670 4.670 90.00 90.00 90.00
Positions (direct):
W 0.500 0.500 0.000
Ca 0.500 0.000 0.500
In 0.000 0.000 0.000
In 0.000 0.500 0.500

## CaInW2 (PBE)

Data for a relaxed structure of CaInW2.

As for the crystal system: trigonal. As for the density of states at the Fermi level: 1.274 states/eV/atom. The formation enthalpy at 0 K is 897 meV per atom. As for the total energy: -6.764 eV/atom.

Lattice parameters (Å, degrees): 10.316 10.316 10.316 16.65 16.65 16.65
Positions (direct):
W 0.005 0.005 0.005
Ca 0.250 0.250 0.250
In 0.750 0.750 0.750
W 0.495 0.495 0.495

## CaInW2 (PBE)

Data for a relaxed structure of CaInW2.

As for the crystal system: cubic. As for the density of states at the Fermi level: 1.052 states/eV/atom. The formation enthalpy at 0 K is 632 meV per atom. As for the total energy: -7.030 eV/atom.

Lattice parameters (Å, degrees): 4.775 4.775 4.775 60.00 60.00 60.00
Positions (direct):
W 0.000 0.000 0.000
In 0.750 0.750 0.750
W 0.250 0.250 0.250
Ca 0.500 0.500 0.500

## CaInW2 (PBE)

Data for a relaxed structure of CaInW2.

As for the crystal system: monoclinic. As for the density of states at the Fermi level: 0.733 states/eV/atom. The formation enthalpy at 0 K is 706 meV per atom. As for the total energy: -6.956 eV/atom.

Lattice parameters (Å, degrees): 5.147 2.852 5.404 85.17 90.00 90.00
Positions (direct):
Ca 0.500 0.250 0.250
W 0.000 0.576 0.483
W 0.000 0.924 0.017
In 0.500 0.750 0.750

## CaIn2W (PBE)

Data for a relaxed structure of CaIn2W.

As for the crystal system: tetragonal. As for the density of states at the Fermi level: 1.121 states/eV/atom. The formation enthalpy at 0 K is 409 meV per atom. As for the total energy: -4.699 eV/atom. The calculation puts the relative energy among the computed polymorphs at 3.57 kcal/mol of atoms.

Lattice parameters (Å, degrees): 5.296 5.296 5.296 129.62 129.58 74.05
Positions (direct):
W 0.250 0.750 0.500
In 0.500 0.500 0.000
In 0.000 0.000 0.000
Ca 0.750 0.250 0.500

## CaIn2W (PBE)

Data for a relaxed structure of CaIn2W.

As for the crystal system: monoclinic. As for the density of states at the Fermi level: 0.670 states/eV/atom. The formation enthalpy at 0 K is 454 meV per atom. As for the total energy: -4.654 eV/atom. The calculation puts the relative energy among the computed polymorphs at 4.62 kcal/mol of atoms.

Lattice parameters (Å, degrees): 5.258 3.001 5.561 85.99 90.00 90.00
Positions (direct):
In 0.000 0.130 0.981
W 0.000 0.486 0.475
In 0.500 0.184 0.278
Ca 0.500 0.700 0.766

## CaIn2W (PBE)

Data for a relaxed structure of CaIn2W.

As for the crystal system: tetragonal. As for the density of states at the Fermi level: 0.847 states/eV/atom. The formation enthalpy at 0 K is 476 meV per atom. As for the total energy: -4.632 eV/atom. The calculation puts the relative energy among the computed polymorphs at 5.12 kcal/mol of atoms.

Lattice parameters (Å, degrees): 3.053 3.053 9.679 90.00 90.00 90.00
Positions (direct):
Ca 0.500 0.500 0.732
In 0.500 0.500 0.270
In 0.000 0.000 0.009
W 0.000 0.000 0.488

## CaInW (PBE)

Data for a relaxed structure of CaInW.

As for the crystal system: tetragonal. As for the density of states at the Fermi level: 0.401 states/eV/atom. The formation enthalpy at 0 K is 479 meV per atom. As for the total energy: -5.419 eV/atom. The calculation puts the relative energy among the computed polymorphs at 0.00 kcal/mol of atoms.

Lattice parameters (Å, degrees): 7.648 7.648 7.648 157.71 157.71 31.72
Positions (direct):
Ca 0.004 0.004 0.000
W 0.673 0.673 0.000
In 0.323 0.323 0.000

## CaInW2 (PBE)

Data for a relaxed structure of CaInW2.

As for the crystal system: orthorhombic. As for the density of states at the Fermi level: 0.691 states/eV/atom. The formation enthalpy at 0 K is 796 meV per atom. As for the total energy: -6.865 eV/atom.

Lattice parameters (Å, degrees): 2.838 2.838 9.877 90.00 90.00 100.16
Positions (direct):
In 0.500 0.500 0.750
Ca 0.500 0.500 0.250
W 0.000 0.000 0.983
W 0.000 0.000 0.517

## CaIn2W (PBE)

Data for a relaxed structure of CaIn2W.

As for the crystal system: tetragonal. As for the density of states at the Fermi level: 1.059 states/eV/atom. The formation enthalpy at 0 K is 554 meV per atom. As for the total energy: -4.554 eV/atom. The calculation puts the relative energy among the computed polymorphs at 6.93 kcal/mol of atoms.

Lattice parameters (Å, degrees): 3.608 3.608 7.491 90.00 90.00 90.00
Positions (direct):
In 0.500 0.500 0.293
In 0.000 0.000 0.039
W 0.000 0.000 0.447
Ca 0.500 0.500 0.721

## Ca2In2W (PBE)

Data for a relaxed structure of Ca2In2W.

As for the crystal system: tetragonal. As for the density of states at the Fermi level: 1.074 states/eV/atom. The formation enthalpy at 0 K is 379 meV per atom. As for the total energy: -4.107 eV/atom. The calculation puts the relative energy among the computed polymorphs at 0.00 kcal/mol of atoms.

Lattice parameters (Å, degrees): 7.365 7.365 4.968 90.00 90.00 90.00
Positions (direct):
Ca 0.324 0.176 0.500
Ca 0.176 0.676 0.500
In 0.356 0.856 0.000
Ca 0.676 0.824 0.500
Ca 0.824 0.324 0.500
In 0.644 0.144 0.000
In 0.144 0.356 0.000
W 0.500 0.500 0.000
W 0.000 0.000 0.000
In 0.856 0.644 0.000

## CaIn2W (PBE)

Data for a relaxed structure of CaIn2W.

As for the crystal system: tetragonal. As for the density of states at the Fermi level: 1.796 states/eV/atom. The formation enthalpy at 0 K is 862 meV per atom. As for the total energy: -4.246 eV/atom. The calculation puts the relative energy among the computed polymorphs at 14.03 kcal/mol of atoms.

Lattice parameters (Å, degrees): 4.630 4.630 10.488 77.25 77.25 90.00
Positions (direct):
W 0.000 0.000 0.000
In 0.875 0.939 0.750
In 0.061 0.625 0.250
In 0.375 0.311 0.750
Ca 0.250 0.750 0.500
In 0.689 0.125 0.250
Ca 0.500 0.500 0.000
W 0.750 0.250 0.500

## CaIn2W (PBE)

Data for a relaxed structure of CaIn2W.

As for the crystal system: tetragonal. As for the density of states at the Fermi level: 0.555 states/eV/atom. The formation enthalpy at 0 K is 254 meV per atom. As for the total energy: -4.854 eV/atom. The calculation puts the relative energy among the computed polymorphs at 0.00 kcal/mol of atoms.

Lattice parameters (Å, degrees): 3.090 3.090 9.112 90.00 90.00 90.06
Positions (direct):
In 0.000 0.000 0.475
Ca 0.500 0.500 0.750
W 0.500 0.500 0.250
In 0.000 0.000 0.025